# ScCo3B2

A crystal of ScCo3B2 relaxed with PBEsol (meta-GGA SCAN, Alexandria via LeMat-Bulk).

Lattice parameters (Å, degrees): 2.9365 4.8360 4.8360 120.00 90.00 90.00
Last column: nearest neighbours and their distance in Å.
Atoms (fractional coordinates):
B  0.0000  0.3333  0.6667  6 Co 2.03
B  0.0000  0.6667  0.3333  6 Co 2.03
Sc  0.0000  0.0000  0.0000  6 B 2.79, 12 Co 2.83, 2 Sc 2.94
Co  0.5000  0.5000  0.0000  4 B 2.03
Co  0.5000  0.0000  0.5000  4 B 2.03
Co  0.5000  0.5000  0.5000  4 B 2.03

Computed properties:
VASP energy = -83.964 eV per cell
Mass density = 6.80 g/cm³
ΔH_f (0 K) = -0.493 eV per atom



# ScCoB3

A crystal of ScCoB3 relaxed with PBEsol (meta-GGA SCAN, Alexandria via LeMat-Bulk).

Lattice parameters (Å, degrees): 4.1115 4.1115 4.1115 90.00 90.00 90.00
Last column: nearest neighbours and their distance in Å.
Atoms (fractional coordinates):
B  0.0000  0.0000  0.5000  2 Sc 2.06
Sc  0.0000  0.0000  0.0000  6 B 2.06
Co  0.5000  0.5000  0.5000  12 B 2.91
B  0.5000  0.0000  0.0000  2 Sc 2.06
B  0.0000  0.5000  0.0000  2 Sc 2.06

Computed properties:
VASP energy = -42.053 eV per cell
Mass density = 3.26 g/cm³
ΔH_f (0 K) = 2.355 eV per atom



# Sr2ScCoB

A crystal of Sr2ScCoB relaxed with PBEsol (meta-GGA SCAN, Alexandria via LeMat-Bulk).

Lattice parameters (Å, degrees): 4.5176 5.4853 5.4853 90.00 90.00 90.00
Last column: nearest neighbours and their distance in Å.
Atoms (fractional coordinates):
B  0.5000  0.5000  0.5000  8 Sr 3.55, 4 Sc 3.88
Sr  0.0000  0.5000  0.0000  2 Co 2.74
Sr  0.0000  0.0000  0.5000  2 Co 2.74
Sc  0.5000  0.0000  0.0000  2 Co 2.26
Co  0.0000  0.0000  0.0000  2 Sc 2.26

Computed properties:
VASP energy = -78.603 eV per cell
Mass density = 3.54 g/cm³
ΔH_f (0 K) = 0.984 eV per atom



# SrScCo2B

A crystal of SrScCo2B relaxed with PBEsol (meta-GGA SCAN, Alexandria via LeMat-Bulk).

Lattice parameters (Å, degrees): 4.4462 4.4462 4.6996 90.00 90.00 90.00
Last column: nearest neighbours and their distance in Å.
Atoms (fractional coordinates):
Co  0.5000  0.0000  0.0000  2 Sc 2.22
Co  0.0000  0.5000  0.0000  2 Sc 2.22
B  0.0000  0.0000  0.5000  2 Sc 2.35
Sr  0.5000  0.5000  0.5000  4 B 3.14, 8 Co 3.23
Sc  0.0000  0.0000  0.0000  4 Co 2.22, 2 B 2.35

Computed properties:
VASP energy = -73.271 eV per cell
Mass density = 4.67 g/cm³
ΔH_f (0 K) = 1.056 eV per atom



# SrScCoB2

A crystal of SrScCoB2 relaxed with PBEsol (meta-GGA SCAN, Alexandria via LeMat-Bulk).

Lattice parameters (Å, degrees): 4.4784 4.4784 5.0231 90.00 90.00 90.00
Last column: nearest neighbours and their distance in Å.
Atoms (fractional coordinates):
Co  0.5000  0.5000  0.5000  4 Sc 3.17, 8 B 3.36
B  0.5000  0.0000  0.0000  2 Sr 2.24
B  0.0000  0.5000  0.0000  2 Sr 2.24
Sc  0.0000  0.0000  0.5000  2 Sr 2.51
Sr  0.0000  0.0000  0.0000  4 B 2.24

Computed properties:
VASP energy = -54.714 eV per cell
Mass density = 3.51 g/cm³
ΔH_f (0 K) = 2.792 eV per atom



# CoBSe3

A crystal of CoBSe3 relaxed with PBEsol (meta-GGA SCAN, Alexandria via LeMat-Bulk).

Lattice parameters (Å, degrees): 4.5853 4.5853 4.5853 90.00 90.00 90.00
Last column: nearest neighbours and their distance in Å.
Atoms (fractional coordinates):
Se  0.0000  0.0000  0.5000  2 Co 2.29
Se  0.0000  0.5000  0.0000  2 Co 2.29
Co  0.0000  0.0000  0.0000  6 Se 2.29
B  0.5000  0.5000  0.5000  12 Se 3.24
Se  0.5000  0.0000  0.0000  2 Co 2.29

Computed properties:
VASP energy = -78.761 eV per cell
Mass density = 5.28 g/cm³
Formation energy without anion corrections = 1242 meV per atom



# Sm3Co29Si4B10

A crystal of Sm3Co29Si4B10 relaxed with PBEsol (meta-GGA SCAN, Alexandria via LeMat-Bulk).

Lattice parameters (Å, degrees): 7.7327 11.0019 11.0019 90.00 90.00 90.00
Last column: nearest neighbours and their distance in Å.
Atoms (fractional coordinates):
Co  0.3369  0.6619  0.3252  3 B 2.02-2.10
Co  0.8891  0.6097  0.5000  1 B 1.89
Si  0.1762  0.3175  0.5000  7 Co 2.30-2.51
Si  0.1762  0.0000  0.1825  7 Co 2.30-2.51
Sm  0.0000  0.2500  0.2500  12 Co 2.86-3.19, 4 Si 3.16
Co  0.6990  0.1098  0.3902  4 B 2.03-2.07
Co  0.3369  0.6619  0.6748  3 B 2.02-2.10
Co  0.3010  0.3902  0.1098  4 B 2.03-2.07
Co  0.2508  0.8851  0.3851  2 B 2.09-2.10
Si  0.8238  0.5000  0.3175  7 Co 2.30-2.51
B  0.2625  0.2439  0.0000  7 Co 1.89-2.07
Co  0.2508  0.8851  0.6149  2 B 2.09-2.10
Si  0.8238  0.1825  0.0000  7 Co 2.30-2.51
Co  0.5258  0.5000  0.7735  3 B 2.06-2.09
Si  0.1762  0.0000  0.8175  7 Co 2.30-2.51
B  0.1498  0.5000  0.0000  1 B 2.00, 8 Co 2.03-2.07
Sm  0.0000  0.2500  0.7500  12 Co 2.86-3.19, 4 Si 3.16
Co  0.5258  0.5000  0.2265  3 B 2.06-2.09
B  0.2625  0.5000  0.7439  7 Co 1.89-2.07
Co  0.3010  0.3902  0.8902  4 B 2.03-2.07
Co  0.1109  0.8903  0.0000  1 B 1.89
Co  0.0285  0.5000  0.1640  3 B 2.03-2.09
Co  0.7492  0.6149  0.8851  2 B 2.09-2.10
Co  0.3369  0.1748  0.1619  3 B 2.02-2.10
Co  0.6631  0.1619  0.1748  3 B 2.02-2.10
Co  0.4742  0.0000  0.7265  3 B 2.06-2.09
B  0.4819  0.1851  0.6851  8 Co 2.03-2.10, 1 B 2.04
Co  0.1109  0.1097  0.0000  1 B 1.89
Co  0.6631  0.6748  0.6619  3 B 2.02-2.10
Co  0.9715  0.0000  0.3360  3 B 2.03-2.09
B  0.2625  0.5000  0.2561  7 Co 1.89-2.07
Sm  0.0000  0.7500  0.2500  12 Co 2.86-3.19, 4 Si 3.16
Co  0.8891  0.0000  0.1097  1 B 1.89
Co  0.0285  0.6640  0.0000  3 B 2.03-2.09
Co  0.3369  0.8252  0.8381  3 B 2.02-2.10
Co  0.4742  0.0000  0.2735  3 B 2.06-2.09
B  0.1088  0.0000  0.5000  1 B 2.00, 8 Co 2.09-2.10
Co  0.2508  0.1149  0.6149  2 B 2.09-2.10
B  0.8502  0.0000  0.5000  1 B 2.00, 8 Co 2.03-2.07
Co  0.9715  0.8360  0.5000  3 B 2.03-2.09
Co  0.3369  0.1748  0.8381  3 B 2.02-2.10
Co  0.1109  0.5000  0.6097  1 B 1.89
Co  0.4677  0.0000  0.5000  12 Co 2.45-2.49
Co  0.6631  0.8381  0.1748  3 B 2.02-2.10
Co  0.9715  0.1640  0.5000  3 B 2.03-2.09
Co  0.2508  0.1149  0.3851  2 B 2.09-2.10
B  0.7375  0.0000  0.7561  7 Co 1.89-2.07
B  0.5181  0.3149  0.8149  8 Co 2.03-2.10, 1 B 2.04
Co  0.5258  0.2735  0.0000  3 B 2.06-2.09
Sm  0.5000  0.5000  0.5000  16 Co 2.91-3.24, 4 Si 3.21, 4 B 3.25
B  0.4819  0.8149  0.6851  8 Co 2.03-2.10, 1 B 2.04
Co  0.6631  0.3252  0.6619  3 B 2.02-2.10
Co  0.6990  0.1098  0.6098  4 B 2.03-2.07
B  0.4819  0.8149  0.3149  8 Co 2.03-2.10, 1 B 2.04
Co  0.3010  0.6098  0.8902  4 B 2.03-2.07
B  0.7375  0.2561  0.5000  7 Co 1.89-2.07
B  0.5181  0.6851  0.1851  8 Co 2.03-2.10, 1 B 2.04
Si  0.8238  0.5000  0.6825  7 Co 2.30-2.51
Co  0.6631  0.3252  0.3381  3 B 2.02-2.10
Co  0.8891  0.3903  0.5000  1 B 1.89
Co  0.6631  0.6748  0.3381  3 B 2.02-2.10
Si  0.1762  0.6825  0.5000  7 Co 2.30-2.51
Co  0.6990  0.8902  0.6098  4 B 2.03-2.07
Sm  0.5000  0.0000  0.0000  16 Co 2.91-3.24, 4 Si 3.21, 4 B 3.25
Co  0.3369  0.3381  0.3252  3 B 2.02-2.10
Co  0.6990  0.8902  0.3902  4 B 2.03-2.07
Co  0.0285  0.3360  0.0000  3 B 2.03-2.09
B  0.2625  0.7561  0.0000  7 Co 1.89-2.07
Co  0.7492  0.3851  0.1149  2 B 2.09-2.10
Co  0.4742  0.7735  0.5000  3 B 2.06-2.09
Si  0.8238  0.8175  0.0000  7 Co 2.30-2.51
Co  0.8891  0.0000  0.8903  1 B 1.89
Co  0.7492  0.6149  0.1149  2 B 2.09-2.10
Co  0.7492  0.3851  0.8851  2 B 2.09-2.10
Co  0.0285  0.5000  0.8360  3 B 2.03-2.09
Co  0.4742  0.2265  0.5000  3 B 2.06-2.09
Co  0.6631  0.1619  0.8252  3 B 2.02-2.10
B  0.5181  0.3149  0.1851  8 Co 2.03-2.10, 1 B 2.04
B  0.8912  0.5000  0.0000  1 B 2.00, 8 Co 2.09-2.10
B  0.4819  0.1851  0.3149  8 Co 2.03-2.10, 1 B 2.04
Co  0.3010  0.6098  0.1098  4 B 2.03-2.07
Co  0.5258  0.7265  0.0000  3 B 2.06-2.09
B  0.5181  0.6851  0.8149  8 Co 2.03-2.10, 1 B 2.04
Co  0.3369  0.8252  0.1619  3 B 2.02-2.10
Co  0.5323  0.5000  0.0000  12 Co 2.45-2.49
B  0.7375  0.0000  0.2439  7 Co 1.89-2.07
Sm  0.0000  0.7500  0.7500  12 Co 2.86-3.19, 4 Si 3.16
Co  0.6631  0.8381  0.8252  3 B 2.02-2.10
Co  0.1109  0.5000  0.3903  1 B 1.89
Co  0.3369  0.3381  0.6748  3 B 2.02-2.10
B  0.7375  0.7439  0.5000  7 Co 1.89-2.07
Co  0.9715  0.0000  0.6640  3 B 2.03-2.09

Computed properties:
VASP energy = -1530.636 eV per cell
Mass density = 8.45 g/cm³
Formation energy without anion corrections = -344 meV per atom